[1]
# YMo2 PBE relaxed
data_YMo2
_cell_length_a 3.2024
_cell_length_b 3.2024
_cell_length_c 6.7906
_cell_angle_alpha 90.00
_cell_angle_beta 90.00
_cell_angle_gamma 120.00
_symmetry_space_group_name_H-M 'P -3 m 1'
_symmetry_Int_Tables_number 164
_symmetry_space_group_name_Hall '-P 3 2"'
loop_
_atom_site_label
_atom_site_type_symbol
_atom_site_fract_x
_atom_site_fract_y
_atom_site_fract_z
Y1 Y 0.0000 0.0000 0.0000
Mo1 Mo 0.3333 0.6667 0.6295
# E_form = 463 meV/atom
# magnetic moment = 0.00 μB per atom

=====

[2]
# MoRhW PBE relaxed
data_MoRhW
_cell_length_a 8.410
_cell_length_b 4.859
_cell_length_c 5.300
_cell_angle_alpha 90.00
_cell_angle_beta 121.70
_cell_angle_gamma 90.00
_symmetry_space_group_name_H-M 'C 1 2 1'
_symmetry_Int_Tables_number 5
loop_
_symmetry_equiv_pos_as_xyz
'x,y,z'
'-x,y,-z'
'x+1/2,y+1/2,z'
'-x+1/2,y+1/2,-z'
loop_
_atom_site_label
_atom_site_type_symbol
_atom_site_fract_x
_atom_site_fract_y
_atom_site_fract_z
Mo1 Mo 0.000 0.000 0.000
Mo2 Mo 0.000 0.161 0.500
Rh1 Rh 0.168 0.664 0.505
W1 W 0.165 0.500 0.998
# energy relative to the lowest polymorph listed for this composition = 74 meV per atom
# E_form = 15 meV/atom
# magnetic moment = 0.00 μB per atom

=====

[3]
# LiNd6In PBE relaxed
data_LiNd6In
_cell_length_a 5.208
_cell_length_b 5.208
_cell_length_c 18.816
_cell_angle_alpha 90.00
_cell_angle_beta 90.00
_cell_angle_gamma 90.00
_symmetry_space_group_name_H-M 'I 4/m m m'
_symmetry_Int_Tables_number 139
_symmetry_space_group_name_Hall '-I 4 2'
loop_
_atom_site_label
_atom_site_type_symbol
_atom_site_fract_x
_atom_site_fract_y
_atom_site_fract_z
Li1 Li 0.000 0.000 0.000
Nd1 Nd 0.000 0.000 0.249
Nd2 Nd 0.000 0.500 0.113
In1 In 0.000 0.000 0.500
# E_form = -111 meV/atom
# magnetic moment = 0.00 μB per atom

=====

[4]
# Os2RhIO PBE relaxed
data_Os2RhIO
_cell_length_a 4.103
_cell_length_b 4.103
_cell_length_c 4.639
_cell_angle_alpha 90.00
_cell_angle_beta 90.00
_cell_angle_gamma 90.00
_symmetry_space_group_name_H-M 'P 4/m m m'
_symmetry_Int_Tables_number 123
_symmetry_space_group_name_Hall '-P 4 2'
loop_
_atom_site_label
_atom_site_type_symbol
_atom_site_fract_x
_atom_site_fract_y
_atom_site_fract_z
Os1 Os 0.000 0.500 0.000
Rh1 Rh 0.000 0.000 0.500
I1 I 0.500 0.500 0.500
O1 O 0.000 0.000 0.000
# formation energy without anion corrections = 1251 meV per atom
# magnetic moment = 0.08 μB per atom

=====

[5]
# Y2Sc3S6 PBE relaxed
data_Y2Sc3S6
_cell_length_a 6.522
_cell_length_b 11.247
_cell_length_c 6.602
_cell_angle_alpha 90.00
_cell_angle_beta 109.19
_cell_angle_gamma 90.00
_symmetry_space_group_name_H-M 'C 1 2/m 1'
_symmetry_Int_Tables_number 12
loop_
_symmetry_equiv_pos_as_xyz
'x,y,z'
'-x,-y,-z'
'-x,y,-z'
'x,-y,z'
'x+1/2,y+1/2,z'
'-x+1/2,-y+1/2,-z'
'-x+1/2,y+1/2,-z'
'x+1/2,-y+1/2,z'
loop_
_atom_site_label
_atom_site_type_symbol
_atom_site_fract_x
_atom_site_fract_y
_atom_site_fract_z
Y1 Y 0.000 0.166 0.000
Sc1 Sc 0.000 0.000 0.500
Sc2 Sc 0.000 0.336 0.500
S1 S 0.242 0.500 0.739
S2 S 0.246 0.165 0.735
# formation energy without anion corrections = -1999 meV per atom
# magnetic moment = 0.00 μB per atom

=====

[6]
# Pr3In8Pd3 PBE relaxed
data_Pr3In8Pd3
_cell_length_a 17.137
_cell_length_b 4.847
_cell_length_c 9.816
_cell_angle_alpha 90.00
_cell_angle_beta 124.69
_cell_angle_gamma 90.00
_symmetry_space_group_name_H-M 'C 1 2/m 1'
_symmetry_Int_Tables_number 12
loop_
_symmetry_equiv_pos_as_xyz
'x,y,z'
'-x,-y,-z'
'-x,y,-z'
'x,-y,z'
'x+1/2,y+1/2,z'
'-x+1/2,-y+1/2,-z'
'-x+1/2,y+1/2,-z'
'x+1/2,-y+1/2,z'
loop_
_atom_site_label
_atom_site_type_symbol
_atom_site_fract_x
_atom_site_fract_y
_atom_site_fract_z
Pr1 Pr 0.000 0.000 0.000
Pr2 Pr 0.214 0.500 0.714
In1 In 0.006 0.500 0.669
In2 In 0.141 0.000 0.436
In3 In 0.148 0.500 0.267
In4 In 0.151 0.000 0.867
Pd1 Pd 0.000 0.000 0.500
Pd2 Pd 0.151 0.500 0.999
# E_form = -540 meV/atom
# magnetic moment = 0.00 μB per atom

=====

[7]
# AgRh3F PBE relaxed
data_AgRh3F
_cell_length_a 4.979
_cell_length_b 4.979
_cell_length_c 4.979
_cell_angle_alpha 90.00
_cell_angle_beta 90.00
_cell_angle_gamma 90.00
_symmetry_space_group_name_H-M 'P m -3 m'
_symmetry_Int_Tables_number 221
_symmetry_space_group_name_Hall '-P 4 2 3'
loop_
_atom_site_label
_atom_site_type_symbol
_atom_site_fract_x
_atom_site_fract_y
_atom_site_fract_z
Ag1 Ag 0.000 0.000 0.000
Rh1 Rh 0.000 0.000 0.500
F1 F 0.500 0.500 0.500
# energy relative to the lowest polymorph listed for this composition = 1050 meV per atom
# formation energy without anion corrections = 1737 meV per atom
# magnetic moment = 1.01 μB per atom

=====

[8]
# LiTh2Zn6 PBE relaxed
data_LiTh2Zn6
_cell_length_a 7.9609
_cell_length_b 7.9609
_cell_length_c 3.3429
_cell_angle_alpha 90.00
_cell_angle_beta 90.00
_cell_angle_gamma 120.00
_symmetry_space_group_name_H-M 'P 6/m m m'
_symmetry_Int_Tables_number 191
_symmetry_space_group_name_Hall '-P 6 2'
loop_
_atom_site_label
_atom_site_type_symbol
_atom_site_fract_x
_atom_site_fract_y
_atom_site_fract_z
Li1 Li 0.0000 0.0000 0.0000
Th1 Th 0.3333 0.6667 0.0000
Zn1 Zn 0.0000 0.3198 0.5000
# E_form = -185 meV/atom
# magnetic moment = 0.00 μB per atom

=====

[9]
# MgGa3Pt3 PBE relaxed
data_MgGa3Pt3
_cell_length_a 6.8165
_cell_length_b 6.8165
_cell_length_c 17.4517
_cell_angle_alpha 90.00
_cell_angle_beta 90.00
_cell_angle_gamma 120.00
_symmetry_space_group_name_H-M 'R -3'
_symmetry_Int_Tables_number 148
_symmetry_space_group_name_Hall '-R 3'
loop_
_atom_site_label
_atom_site_type_symbol
_atom_site_fract_x
_atom_site_fract_y
_atom_site_fract_z
Mg1 Mg 0.0000 0.0000 0.1613
Ga1 Ga 0.0211 0.4100 0.3811
Pt1 Pt 0.0087 0.2581 0.5662
# energy relative to the lowest polymorph listed for this composition = 0 meV per atom
# E_form = -673 meV/atom
# magnetic moment = 0.00 μB per atom

=====

[10]
# Cd2ICl3 PBE relaxed
data_Cd2ICl3
_cell_length_a 15.062
_cell_length_b 4.049
_cell_length_c 13.696
_cell_angle_alpha 90.00
_cell_angle_beta 112.03
_cell_angle_gamma 90.00
_symmetry_space_group_name_H-M 'C 1 2/m 1'
_symmetry_Int_Tables_number 12
loop_
_symmetry_equiv_pos_as_xyz
'x,y,z'
'-x,-y,-z'
'-x,y,-z'
'x,-y,z'
'x+1/2,y+1/2,z'
'-x+1/2,-y+1/2,-z'
'-x+1/2,y+1/2,-z'
'x+1/2,-y+1/2,z'
loop_
_atom_site_label
_atom_site_type_symbol
_atom_site_fract_x
_atom_site_fract_y
_atom_site_fract_z
Cd1 Cd 0.238 0.000 0.371
Cd2 Cd 0.239 0.500 0.119
I1 I 0.106 0.500 0.231
Cl1 Cl 0.146 0.000 0.987
Cl2 Cl 0.155 0.000 0.514
Cl3 Cl 0.162 0.500 0.755
# energy relative to the lowest polymorph listed for this composition = 0 meV per atom
# formation energy without anion corrections = -955 meV per atom
# magnetic moment = 0.00 μB per atom